No. 1
Below is crystalline Mg2AlOs at its relaxed geometry, with properties calculated at the PBE level.

Cell lengths 2.885, 4.408, 5.560 Å; angles 90.00, 104.95, 90.00 degrees
Fractional positions:
1 Mg 0.000 0.000 0.000
2 Mg 0.339 0.500 0.687
3 Al 0.717 0.000 0.449
4 Os 0.613 0.500 0.220

- SG = Pm (6)
- formation energy from the elements (eV per formula unit) = 0.16

No. 2
Below is crystalline SmEr2TmTe6 at its relaxed geometry, with properties calculated at the PBE level.

Cell lengths 8.292, 8.292, 8.292 Å; angles 55.19, 55.19, 55.19 degrees
Fractional positions:
1 Sm 0.000 0.000 0.000
2 Er 0.186 0.186 0.186
3 Er 0.688 0.688 0.688
4 Tm 0.502 0.502 0.502
5 Te 0.094 0.415 0.779
6 Te 0.290 0.909 0.584
7 Te 0.415 0.779 0.094
8 Te 0.584 0.290 0.909
9 Te 0.779 0.094 0.415
10 Te 0.909 0.584 0.290

- formation energy without anion corrections (eV per atom) = -1.347
- SG = R3 (146)

No. 3
Below is crystalline KRbLiPb at its relaxed geometry, with properties calculated at the PBE level.

Cell lengths 5.944, 5.944, 5.944 Å; angles 60.00, 60.00, 60.00 degrees
Fractional positions:
1 K 0.000 0.000 0.000
2 Rb 0.750 0.750 0.750
3 Li 0.500 0.500 0.500
4 Pb 0.250 0.250 0.250

- SG = F-43m (216)
- formation energy from the elements (eV per formula unit) = -0.01

No. 4
Below is crystalline Na4In4Sn5 at its relaxed geometry, with properties calculated at the PBE level.

Cell lengths 8.992, 8.992, 8.992 Å; angles 94.18, 94.18, 148.67 degrees
Fractional positions:
1 Na 0.092 0.625 0.718
2 Na 0.375 0.092 0.467
3 Na 0.625 0.908 0.533
4 Na 0.908 0.375 0.282
5 In 0.140 0.230 0.370
6 In 0.230 0.860 0.090
7 In 0.770 0.140 0.910
8 In 0.860 0.770 0.630
9 Sn 0.000 0.000 0.000
10 Sn 0.317 0.447 0.764
11 Sn 0.447 0.683 0.129
12 Sn 0.553 0.317 0.871
13 Sn 0.683 0.553 0.236

- SG = I4/m (87)
- formation energy from the elements (eV per formula unit) = -0.67

No. 5
Below is crystalline NaTl2P2S6 at its relaxed geometry, with properties calculated at the PBE level.

Cell lengths 8.625, 8.625, 8.625 Å; angles 46.52, 46.52, 46.52 degrees
Fractional positions:
1 Na 0.000 0.000 0.000
2 Tl 0.214 0.214 0.214
3 Tl 0.786 0.786 0.786
4 P 0.451 0.451 0.451
5 P 0.549 0.549 0.549
6 S 0.239 0.737 0.737
7 S 0.263 0.263 0.761
8 S 0.263 0.761 0.263
9 S 0.737 0.239 0.737
10 S 0.737 0.737 0.239
11 S 0.761 0.263 0.263

- formation energy without anion corrections (eV per atom) = -0.394
- SG = R-3m (166)

No. 6
Below is crystalline ZrMn2PtC at its relaxed geometry, with properties calculated at the PBE level.

Cell lengths 3.897, 3.897, 4.512 Å; angles 90.00, 90.00, 90.00 degrees
Fractional positions:
1 Zr 0.000 0.000 0.000
2 Mn 0.000 0.500 0.500
3 Mn 0.500 0.000 0.500
4 Pt 0.500 0.500 0.000
5 C 0.000 0.000 0.500

- SG = P4/mmm (123)
- formation energy from the elements (eV per formula unit) = -1.62

No. 7
Below is crystalline Ca2TaTc at its relaxed geometry, with properties calculated at the PBE level.

Cell lengths 6.310, 6.310, 6.310 Å; angles 148.14, 138.49, 53.26 degrees
Fractional positions:
1 Ca 0.208 0.208 0.000
2 Ca 0.792 0.792 0.000
3 Ta 0.500 0.000 0.500
4 Tc 0.000 0.500 0.500

- SG = Immm (71)
- formation energy from the elements (eV per formula unit) = 2.44

No. 8
Below is crystalline TcSbAs2 at its relaxed geometry, with properties calculated at the PBE level.

Cell lengths 3.030, 3.030, 9.623 Å; angles 90.00, 90.00, 114.66 degrees
Fractional positions:
1 Tc 0.000 0.000 0.000
2 Sb 0.500 0.500 0.758
3 As 0.000 0.000 0.482
4 As 0.500 0.500 0.187

- formation energy without anion corrections (eV per atom) = 0.405
- SG = Cmm2 (35)

What are the electronic total energy values for these records? In order: -4.50; -5.06; -1.92; -2.84; -4.18; -8.75; -5.95; -5.54 eV per atom.